[1]
First-principles (PBE-GGA) data for a geometry-optimized RbTaI2 structure, as listed in the Alexandria database.

Structure (CIF):
```
data_RbTaI2
_chemical_formula_sum 'Rb4 Ta4 I8'
_cell_length_a 6.9630
_cell_length_b 6.9630
_cell_length_c 16.2003
_cell_angle_alpha 90.00
_cell_angle_beta 90.00
_cell_angle_gamma 90.00
_space_group_name_H-M_alt 'I -4 2 d'
_space_group_IT_number 122
_space_group_name_Hall 'I -4 2bw'
loop_
_atom_site_label
_atom_site_type_symbol
_atom_site_fract_x
_atom_site_fract_y
_atom_site_fract_z
_atom_site_occupancy
Rb1 Rb 0.0000 0.0000 0.0000 1
Ta1 Ta 0.0000 0.0000 0.5000 1
I1 I 0.1515 0.2500 0.6250 1
```

Calculated values
The value obtained for the energy above the most stable polymorph in this dataset is 0.000 eV/atom. The calculation puts the density of states at the Fermi level at 0.81 states/eV/atom.

---

[2]
First-principles (PBE-GGA) data for a geometry-optimized RbTaI2 structure, as listed in the Alexandria database.

Structure (CIF):
```
data_RbTaI2
_chemical_formula_sum 'Rb4 Ta4 I8'
_cell_length_a 7.6638
_cell_length_b 7.6638
_cell_length_c 7.6638
_cell_angle_alpha 90.00
_cell_angle_beta 90.00
_cell_angle_gamma 90.00
_space_group_name_H-M_alt 'F m -3 m'
_space_group_IT_number 225
_space_group_name_Hall '-F 4 2 3'
loop_
_atom_site_label
_atom_site_type_symbol
_atom_site_fract_x
_atom_site_fract_y
_atom_site_fract_z
_atom_site_occupancy
Rb1 Rb 0.0000 0.0000 0.0000 1
Ta1 Ta 0.0000 0.0000 0.5000 1
I1 I 0.2500 0.2500 0.2500 1
```

Calculated values
The value obtained for the energy above the most stable polymorph in this dataset is 0.348 eV/atom. The calculation puts the density of states at the Fermi level at 0.43 states/eV/atom.

---

[3]
First-principles (PBE-GGA) data for a geometry-optimized RbTaI6 structure, as listed in the Alexandria database.

Structure (CIF):
```
data_RbTaI6
_chemical_formula_sum 'Rb2 Ta2 I12'
_cell_length_a 9.5842
_cell_length_b 10.8737
_cell_length_c 8.4532
_cell_angle_alpha 90.00
_cell_angle_beta 116.89
_cell_angle_gamma 90.00
_space_group_name_H-M_alt 'C 1 2/m 1'
_space_group_IT_number 12
loop_
_space_group_symop_operation_xyz
'x,y,z'
'-x,-y,-z'
'-x,y,-z'
'x,-y,z'
'x+1/2,y+1/2,z'
'-x+1/2,-y+1/2,-z'
'-x+1/2,y+1/2,-z'
'x+1/2,-y+1/2,z'
loop_
_atom_site_label
_atom_site_type_symbol
_atom_site_fract_x
_atom_site_fract_y
_atom_site_fract_z
_atom_site_occupancy
Rb1 Rb 0.0000 0.0000 0.0000 1
Ta1 Ta 0.0000 0.5000 0.5000 1
I1 I 0.1117 0.3190 0.7599 1
I2 I 0.2189 0.0000 0.5153 1
```

---

[4]
First-principles (PBE-GGA) data for a geometry-optimized Rb2TaTcI6 structure, as listed in the Alexandria database.

Structure (CIF):
```
data_Rb2TaTcI6
_chemical_formula_sum 'Rb8 Ta4 Tc4 I24'
_cell_length_a 11.6391
_cell_length_b 11.6391
_cell_length_c 11.6391
_cell_angle_alpha 90.00
_cell_angle_beta 90.00
_cell_angle_gamma 90.00
_space_group_name_H-M_alt 'F m -3 m'
_space_group_IT_number 225
_space_group_name_Hall '-F 4 2 3'
loop_
_atom_site_label
_atom_site_type_symbol
_atom_site_fract_x
_atom_site_fract_y
_atom_site_fract_z
_atom_site_occupancy
Rb1 Rb 0.2500 0.2500 0.2500 1
Ta1 Ta 0.0000 0.0000 0.0000 1
Tc1 Tc 0.0000 0.0000 0.5000 1
I1 I 0.0000 0.0000 0.2466 1
```

Calculated values
The calculation puts the density of states at the Fermi level at 1.40 states/eV/atom.

---

[5]
First-principles (PBE-GGA) data for a geometry-optimized RbTaTe2I structure, as listed in the Alexandria database.

Structure (CIF):
```
data_RbTaTe2I
_chemical_formula_sum 'Rb1 Ta1 Te2 I1'
_cell_length_a 6.2328
_cell_length_b 6.2328
_cell_length_c 6.2628
_cell_angle_alpha 90.00
_cell_angle_beta 90.00
_cell_angle_gamma 90.00
_space_group_name_H-M_alt 'P 4/m m m'
_space_group_IT_number 123
_space_group_name_Hall '-P 4 2'
loop_
_atom_site_label
_atom_site_type_symbol
_atom_site_fract_x
_atom_site_fract_y
_atom_site_fract_z
_atom_site_occupancy
Rb1 Rb 0.0000 0.0000 0.0000 1
Ta1 Ta 0.5000 0.5000 0.5000 1
Te1 Te 0.0000 0.5000 0.0000 1
I1 I 0.0000 0.0000 0.5000 1
```

Calculated values
The value obtained for the energy above the most stable polymorph in this dataset is 2.201 eV/atom. The calculation puts the density of states at the Fermi level at 2.27 states/eV/atom.

---

[6]
First-principles (PBE-GGA) data for a geometry-optimized RbTaTeI2 structure, as listed in the Alexandria database.

Structure (CIF):
```
data_RbTaTeI2
_chemical_formula_sum 'Rb1 Ta1 Te1 I2'
_cell_length_a 6.2802
_cell_length_b 6.2802
_cell_length_c 6.3138
_cell_angle_alpha 90.00
_cell_angle_beta 90.00
_cell_angle_gamma 90.00
_space_group_name_H-M_alt 'P 4/m m m'
_space_group_IT_number 123
_space_group_name_Hall '-P 4 2'
loop_
_atom_site_label
_atom_site_type_symbol
_atom_site_fract_x
_atom_site_fract_y
_atom_site_fract_z
_atom_site_occupancy
Rb1 Rb 0.0000 0.0000 0.0000 1
Ta1 Ta 0.5000 0.5000 0.5000 1
Te1 Te 0.0000 0.0000 0.5000 1
I1 I 0.0000 0.5000 0.0000 1
```

Calculated values
The value obtained for the energy above the most stable polymorph in this dataset is 2.004 eV/atom. The calculation puts the density of states at the Fermi level at 3.48 states/eV/atom.

---

Energy relative to the elements, uncorrected / eV per atom: 0.305 0.653 -0.683 -0.330 1.830 1.652
Total magnetization / μB per cell: 15.689 0.000 0.000 25.605 0.915 0.000